(1)
Entry from Alexandria: a relaxed Ag2HgOs crystal (GGA-PBE).

a b c (Å): 4.2981 4.0443 4.0443
angles (deg): 90.00 90.00 90.00
Closest atoms and distances in Å follow each position.
Element x y z (fractional)
Ag1 0.0000 0.0000 0.0000  4 Ag 2.86, 4 Hg 2.95, 4 Os 2.95
Ag2 0.0000 0.5000 0.5000  4 Ag 2.86, 4 Hg 2.95, 4 Os 2.95
Os1 0.5000 0.0000 0.5000  4 Hg 2.86, 8 Ag 2.95
Hg1 0.5000 0.5000 0.0000  4 Os 2.86, 8 Ag 2.95

The value obtained for the calculated formation energy is 0.73 eV per atom.

=====

(2)
Entry from Alexandria: a relaxed LaCoH3 crystal (GGA-PBE).

a b c (Å): 3.6514 3.6514 4.9080
angles (deg): 68.38 68.15 90.00
Closest atoms and distances in Å follow each position.
Element x y z (fractional)
La1 0.3911 0.1957 0.9230  8 H 2.47-2.59, 1 Co 2.74
Co1 0.0635 0.8663 0.5783  1 H 1.61
H1 0.0912 0.3939 0.5230  2 Co 1.84
H2 0.5912 0.8941 0.5231  2 Co 1.84
H3 0.8708 0.6752 0.9638  1 Co 1.61

The total energy is -4.691 eV per atom.

=====

(3)
Entry from Alexandria: a relaxed CuAg3Sn crystal (GGA-PBE).

a b c (Å): 4.8318 4.8318 4.8318
angles (deg): 90.00 90.00 90.00
Closest atoms and distances in Å follow each position.
Element x y z (fractional)
Ag1 0.5000 0.0000 0.0000  2 Cu 2.42
Ag2 0.0000 0.0000 0.5000  2 Cu 2.42
Ag3 0.0000 0.5000 0.0000  2 Cu 2.42
Sn1 0.5000 0.5000 0.5000  12 Ag 3.42
Cu1 0.0000 0.0000 0.0000  6 Ag 2.42

The offset from the most stable computed form is 0 meV/atom. The value obtained for the calculated formation energy is 0.47 eV per atom.

=====

(4)
Entry from Alexandria: a relaxed Zr2ScZn5 crystal (GGA-PBE).

a b c (Å): 4.5065 4.5065 7.5815
angles (deg): 107.29 107.29 90.00
Closest atoms and distances in Å follow each position.
Element x y z (fractional)
Zn1 0.8841 0.3841 0.7682  2 Zn 2.76, 2 Sc 2.76, 4 Zr 2.83-3.00
Zn2 0.3841 0.8841 0.7682  2 Sc 2.76, 2 Zn 2.76, 4 Zr 2.83-3.00
Zn3 0.1159 0.6159 0.2318  2 Sc 2.76, 2 Zn 2.76, 4 Zr 2.83-3.00
Zn4 0.6159 0.1159 0.2318  2 Zn 2.76, 2 Sc 2.76, 4 Zr 2.83-3.00
Zn5 0.5000 0.5000 0.0000  8 Zn 2.76
Sc1 0.0000 0.0000 0.0000  8 Zn 2.76
Zr1 0.7407 0.7407 0.4813  8 Zn 2.83-3.00
Zr2 0.2593 0.2593 0.5187  8 Zn 2.83-3.00

The value obtained for the calculated formation energy is -0.28 eV per atom.

=====

(5)
Entry from Alexandria: a relaxed KNa2LiTl crystal (GGA-PBE).

a b c (Å): 5.7660 5.7660 5.4133
angles (deg): 90.00 90.00 90.00
Closest atoms and distances in Å follow each position.
Element x y z (fractional)
K1 0.5000 0.5000 0.5000  8 Na 3.95, 4 Tl 4.08
Li1 0.0000 0.0000 0.0000  2 Tl 2.71, 4 Na 2.88
Na1 0.0000 0.5000 0.0000  2 Li 2.88
Na2 0.5000 0.0000 0.0000  2 Li 2.88
Tl1 0.0000 0.0000 0.5000  2 Li 2.71

The offset from the most stable computed form is 9 meV/atom. The value obtained for the calculated formation energy is 0.03 eV per atom.

=====

(6)
Entry from Alexandria: a relaxed SbBrCl2 crystal (GGA-PBE).

a b c (Å): 3.7753 3.7753 6.5816
angles (deg): 90.00 90.00 90.00
Closest atoms and distances in Å follow each position.
Element x y z (fractional)
Br1 0.5000 0.5000 0.7500  8 Cl 3.23, 2 Sb 3.29
Cl1 0.0000 0.0000 0.4733  1 Cl 2.94, 4 Sb 3.05, 4 Br 3.23
Cl2 0.0000 0.0000 0.0267  1 Cl 2.94, 4 Sb 3.05, 4 Br 3.23
Sb1 0.5000 0.5000 0.2500  8 Cl 3.05, 2 Br 3.29

The value obtained for the uncorrected formation energy is -0.044 eV per atom. The offset from the most stable computed form is 729 meV/atom.

=====

| no. | size of the total moment (μB/cell) |
| --- | --- |
| 1 | 0.66 |
| 2 | 0.51 |
| 3 | 0.00 |
| 4 | 0.00 |
| 5 | 0.00 |
| 6 | 0.00 |